NaZrPdW2, relaxed, DFT PBE-GGA; density of states at the Fermi level = 1.0957 states/eV/atom; crystal system = tetragonal; mass density = 7.97 g cm⁻³; symmetry = P4/mmm (123); total DFT energy (no corrections) = -6.283 eV/atom
1.0
4.894 0.000 0.000
0.000 4.894 0.000
0.000 0.000 5.118
Na Zr Pd W
1 1 1 2
Direct
0.000 0.000 0.000 Na
0.500 0.500 0.500 Zr
0.500 0.500 0.000 Pd
0.000 0.500 0.500 W
0.500 0.000 0.500 W